The following is a DFT calculation (GGA-PBE) of a relaxed CuReSe3 crystal.

```
data_CuReSe3
_chemical_formula_sum 'Cu1 Re1 Se3'
_cell_length_a 4.898
_cell_length_b 4.898
_cell_length_c 4.898
_cell_angle_alpha 90.00
_cell_angle_beta 90.00
_cell_angle_gamma 90.00
_space_group_name_H-M_alt 'P 1'
_space_group_IT_number 1
loop_
_space_group_symop_operation_xyz
'x,y,z'
loop_
_atom_site_label
_atom_site_fract_x
_atom_site_fract_y
_atom_site_fract_z
Re1 0.000 0.000 0.000
Cu1 0.500 0.500 0.500
Se1 0.000 0.500 0.000
Se2 0.000 0.000 0.500
Se3 0.500 0.000 0.000
```

Results
Energy relative to the elements, uncorrected in meV/atom: 770.8
Crystal system: cubic
Distance to the lowest polymorph of the same formula in meV per atom: 0
Size of the total moment in μB/atom: 0.00